VASP calculation (GGA-PBE) on an optimized crystal structure of CeCo2BiH8.

Computed properties:
D(E_F), states/eV/atom: 0.74
DFT total energy, eV for the cell shown: -50.67

Cell lengths 4.904, 4.904, 6.202 Å; angles 66.71, 66.71, 60.00 degrees
Last column: magnetic moment on the atom in μB.
Atoms (fractional coordinates):
1 Co 0.694 0.694 0.918  0.02
2 H 0.209 0.209 0.374  0.00
3 H 0.479 0.479 0.142  0.00
4 Co 0.306 0.306 0.082  0.02
5 Bi 0.000 0.000 0.000  -0.02
6 H 0.479 0.900 0.142  0.00
7 H 0.900 0.479 0.142  0.00
8 H 0.100 0.521 0.858  0.00
9 H 0.521 0.100 0.858  0.00
10 Ce 0.500 0.500 0.500  0.92
11 H 0.521 0.521 0.858  0.00
12 H 0.791 0.791 0.626  0.00